First-principles (PBE) data for a relaxed Sm2TeRu crystal, as listed in Alexandria via LeMat-Bulk.

Cell lengths 3.8780, 3.8780, 28.0096 Å; angles 90.00, 90.00, 120.00 degrees
Space group R-3m (No. 166, hexagonal axes)
Symmetry-distinct sites (fractional):
Sm: 0.0000 0.0000 0.0897 x6
Te: 0.0000 0.0000 0.5000 x3
Ru: 0.0000 0.0000 0.0000 x3

Properties
**Raw total energy**: -21.52 eV per formula unit


First-principles (PBE) data for a relaxed Sm2TeRu crystal, as listed in Alexandria via LeMat-Bulk.

Cell lengths 3.630, 3.630, 7.602 Å; angles 90.00, 90.00, 90.00 degrees
Space group P4/mmm (No. 123)
Symmetry-distinct sites (fractional):
Sm: 0.000 0.000 0.223 x2
Te: 0.500 0.500 0.500 x1
Ru: 0.500 0.500 0.000 x1

Properties
**Raw total energy**: -24.55 eV per formula unit


First-principles (PBE) data for a relaxed Sm5Te2Ru2 crystal, as listed in Alexandria via LeMat-Bulk.

Cell lengths 15.979, 7.929, 7.852 Å; angles 90.00, 90.00, 90.00 degrees
Space group Cmce (No. 64)
Symmetry-distinct sites (fractional):
Sm: 0.000 0.000 0.000 x4
Sm: 0.117 0.162 0.341 x16
Te: 0.209 0.000 0.000 x8
Ru: 0.000 0.140 0.638 x8

Properties
**Raw total energy**: -55.21 eV per formula unit


First-principles (PBE) data for a relaxed Sm4TeRu2 crystal, as listed in Alexandria via LeMat-Bulk.

Cell lengths 8.633, 8.633, 12.306 Å; angles 90.00, 90.00, 90.00 degrees
Space group I4_1/amd (No. 141, origin choice 2)
Symmetry-distinct sites (fractional):
Sm: 0.000 0.038 0.270 x16
Te: 0.000 0.250 0.875 x4
Ru: 0.000 0.000 0.500 x8

Properties
**Raw total energy**: -42.95 eV per formula unit


These records have DOS(E_F) values of 0.8172 0.2854 0.6577 0.6800 states/eV per atom, in the order they appear.